Density functional theory data (PBE) for crystalline Ba2PmHg at its relaxed geometry.

a = 12.8800 Å, b = 12.8800 Å, c = 12.8800 Å
α = 17.71°, β = 17.71°, γ = 17.71°
With the nearest neighbours (Å) after each atom.
Fractional coordinates of all 4 atoms:
1 Ba 0.0978 0.0978 0.0978  3 Hg 3.48, 1 Pm 3.72
2 Ba 0.9022 0.9022 0.9022  3 Hg 3.48, 1 Pm 3.72
3 Pm 0.0000 0.0000 0.0000  2 Ba 3.72, 6 Pm 3.97
4 Hg 0.5000 0.5000 0.5000  6 Ba 3.48

## Properties
- Energy above the most stable polymorph in this dataset: 230 meV/atom
- DFT formation energy: 0.13 eV/atom
- M_tot: 0.23 μB per formula unit
- Density: 5.96 Mg/m³
- Symmetry: No. 166
- Calculated total energy: -2.0912 eV per atom
- D(E_F): 6.20 states/eV/cell